First-principles (meta-GGA SCAN) data for a PBEsol-optimized structure of CsSbSO4F2, as listed in Alexandria via LeMat-Bulk.

Unit cell a=9.869 b=11.462 c=5.416 alpha=90.00 beta=90.00 gamma=90.00
Fractional positions:
Cs (0.019, 0.162, 0.000)
Cs (0.481, 0.662, 0.500)
Cs (0.519, 0.338, 0.000)
Cs (0.981, 0.838, 0.500)
Sb (0.171, 0.588, 0.009)
Sb (0.329, 0.088, 0.509)
Sb (0.671, 0.912, 0.009)
Sb (0.829, 0.412, 0.509)
S (0.190, 0.372, 0.560)
S (0.310, 0.872, 0.060)
S (0.690, 0.128, 0.560)
S (0.810, 0.628, 0.060)
O (0.070, 0.336, 0.417)
O (0.138, 0.430, 0.795)
O (0.219, 0.948, 0.921)
O (0.234, 0.766, 0.152)
O (0.266, 0.266, 0.652)
O (0.281, 0.448, 0.421)
O (0.362, 0.930, 0.295)
O (0.430, 0.836, 0.917)
O (0.570, 0.164, 0.417)
O (0.638, 0.070, 0.795)
O (0.719, 0.552, 0.921)
O (0.734, 0.734, 0.152)
O (0.766, 0.234, 0.652)
O (0.781, 0.052, 0.421)
O (0.862, 0.570, 0.295)
O (0.930, 0.664, 0.917)
F (0.131, 0.062, 0.471)
F (0.182, 0.666, 0.689)
F (0.318, 0.166, 0.189)
F (0.369, 0.562, 0.971)
F (0.631, 0.438, 0.471)
F (0.682, 0.834, 0.689)
F (0.818, 0.334, 0.189)
F (0.869, 0.938, 0.971)

**Space-group type**: Pna2_1
**Magnetization**: 0.00 μB per atom
**Formation energy (no corrections)**: -2.053 eV/atom



First-principles (meta-GGA SCAN) data for a PBEsol-optimized structure of CsSbOF2, as listed in Alexandria via LeMat-Bulk.

Unit cell a=4.673 b=4.673 c=4.257 alpha=90.00 beta=90.00 gamma=90.00
Fractional positions:
Cs (0.000, 0.000, 0.000)
Sb (0.500, 0.500, 0.500)
O (0.500, 0.500, 0.000)
F (0.000, 0.500, 0.500)
F (0.500, 0.000, 0.500)

**Space-group type**: P4/mmm
**Magnetization**: 0.00 μB per atom
**Formation energy (no corrections)**: -2.056 eV/atom



First-principles (meta-GGA SCAN) data for a PBEsol-optimized structure of CsSiO2F, as listed in Alexandria via LeMat-Bulk.

Unit cell a=4.347 b=4.347 c=5.108 alpha=90.00 beta=90.00 gamma=90.00
Fractional positions:
Cs (0.000, 0.000, 0.000)
Si (0.500, 0.500, 0.500)
O (0.000, 0.500, 0.000)
O (0.500, 0.000, 0.000)
F (0.000, 0.000, 0.500)

**Space-group type**: P4/mmm
**Magnetization**: 0.00 μB per atom
**Formation energy (no corrections)**: 0.540 eV/atom



First-principles (meta-GGA SCAN) data for a PBEsol-optimized structure of CsVOF4, as listed in Alexandria via LeMat-Bulk.

Unit cell a=5.496 b=6.267 c=13.868 alpha=90.00 beta=90.00 gamma=90.00
Fractional positions:
Cs (0.009, 0.250, 0.128)
Cs (0.491, 0.750, 0.628)
Cs (0.509, 0.250, 0.372)
Cs (0.991, 0.750, 0.872)
V (0.026, 0.250, 0.644)
V (0.474, 0.750, 0.144)
V (0.526, 0.250, 0.856)
V (0.974, 0.750, 0.356)
O (0.234, 0.750, 0.080)
O (0.266, 0.250, 0.580)
O (0.734, 0.750, 0.420)
O (0.766, 0.250, 0.920)
F (0.022, 0.033, 0.337)
F (0.022, 0.467, 0.337)
F (0.156, 0.250, 0.766)
F (0.204, 0.750, 0.448)
F (0.296, 0.250, 0.948)
F (0.344, 0.750, 0.266)
F (0.478, 0.533, 0.837)
F (0.478, 0.967, 0.837)
F (0.522, 0.033, 0.163)
F (0.522, 0.467, 0.163)
F (0.656, 0.250, 0.734)
F (0.704, 0.750, 0.052)
F (0.796, 0.250, 0.552)
F (0.844, 0.750, 0.234)
F (0.978, 0.533, 0.663)
F (0.978, 0.967, 0.663)

**Space-group type**: Pnma
**Magnetization**: 0.01 μB per atom
**Formation energy (no corrections)**: -3.023 eV/atom



First-principles (meta-GGA SCAN) data for a PBEsol-optimized structure of Cs3V2O2F7, as listed in Alexandria via LeMat-Bulk.

Unit cell a=6.251 b=6.251 c=14.855 alpha=90.27 beta=90.27 gamma=119.98
Fractional positions:
Cs (0.166, 0.833, 0.435)
Cs (0.166, 0.834, 0.750)
Cs (0.167, 0.834, 0.065)
Cs (0.833, 0.166, 0.935)
Cs (0.834, 0.166, 0.250)
Cs (0.834, 0.167, 0.565)
V (0.473, 0.481, 0.350)
V (0.481, 0.473, 0.850)
V (0.519, 0.527, 0.150)
V (0.527, 0.519, 0.650)
O (0.218, 0.361, 0.406)
O (0.361, 0.218, 0.906)
O (0.639, 0.782, 0.094)
O (0.782, 0.639, 0.594)
F (0.203, 0.334, 0.098)
F (0.228, 0.373, 0.755)
F (0.334, 0.203, 0.598)
F (0.338, 0.639, 0.595)
F (0.361, 0.662, 0.905)
F (0.371, 0.629, 0.250)
F (0.373, 0.228, 0.255)
F (0.627, 0.772, 0.745)
F (0.629, 0.371, 0.750)
F (0.639, 0.338, 0.095)
F (0.662, 0.361, 0.405)
F (0.666, 0.797, 0.402)
F (0.772, 0.627, 0.245)
F (0.797, 0.666, 0.902)

**Space-group type**: C2/c
**Magnetization**: 0.14 μB per atom
**Formation energy (no corrections)**: -3.071 eV/atom



First-principles (meta-GGA SCAN) data for a PBEsol-optimized structure of CsP3F, as listed in Alexandria via LeMat-Bulk.

Unit cell a=4.688 b=4.688 c=4.688 alpha=90.00 beta=90.00 gamma=90.00
Fractional positions:
Cs (0.000, 0.000, 0.000)
P (0.000, 0.500, 0.500)
P (0.500, 0.000, 0.500)
P (0.500, 0.500, 0.000)
F (0.500, 0.500, 0.500)

**Space-group type**: Pm-3m
**Magnetization**: 0.00 μB per atom
**Formation energy (no corrections)**: 0.790 eV/atom



First-principles (meta-GGA SCAN) data for a PBEsol-optimized structure of CsP2SF, as listed in Alexandria via LeMat-Bulk.

Unit cell a=4.437 b=4.437 c=5.523 alpha=90.00 beta=90.00 gamma=90.00
Fractional positions:
Cs (0.000, 0.000, 0.000)
P (0.000, 0.500, 0.500)
P (0.500, 0.000, 0.500)
S (0.500, 0.500, 0.000)
F (0.500, 0.500, 0.500)

**Space-group type**: P4/mmm
**Magnetization**: 0.28 μB per atom
**Formation energy (no corrections)**: 0.495 eV/atom



First-principles (meta-GGA SCAN) data for a PBEsol-optimized structure of Cs2PaF7, as listed in Alexandria via LeMat-Bulk.

Unit cell a=8.042 b=8.042 c=8.229 alpha=119.08 beta=119.08 gamma=53.49
Fractional positions:
Cs (0.159, 0.183, 0.118)
Cs (0.183, 0.159, 0.618)
Cs (0.817, 0.841, 0.382)
Cs (0.841, 0.817, 0.882)
Pa (0.472, 0.528, 0.750)
Pa (0.528, 0.472, 0.250)
F (0.165, 0.835, 0.750)
F (0.191, 0.597, 0.210)
F (0.216, 0.456, 0.525)
F (0.308, 0.553, 0.924)
F (0.403, 0.809, 0.290)
F (0.447, 0.692, 0.576)
F (0.456, 0.216, 0.025)
F (0.544, 0.784, 0.975)
F (0.553, 0.308, 0.424)
F (0.597, 0.191, 0.710)
F (0.692, 0.447, 0.076)
F (0.784, 0.544, 0.475)
F (0.809, 0.403, 0.790)
F (0.835, 0.165, 0.250)

**Space-group type**: C2/c
**Magnetization**: 0.01 μB per atom
**Formation energy (no corrections)**: -3.703 eV/atom



First-principles (meta-GGA SCAN) data for a PBEsol-optimized structure of Cs3PbF, as listed in Alexandria via LeMat-Bulk.

Unit cell a=5.917 b=5.917 c=5.917 alpha=90.00 beta=90.00 gamma=90.00
Fractional positions:
Cs (0.000, 0.000, 0.500)
Cs (0.000, 0.500, 0.000)
Cs (0.500, 0.000, 0.000)
Pb (0.500, 0.500, 0.500)
F (0.000, 0.000, 0.000)

**Space-group type**: Pm-3m
**Magnetization**: 0.00 μB per atom
**Formation energy (no corrections)**: -1.188 eV/atom



First-principles (meta-GGA SCAN) data for a PBEsol-optimized structure of Cs3PdF, as listed in Alexandria via LeMat-Bulk.

Unit cell a=5.641 b=5.641 c=5.641 alpha=90.00 beta=90.00 gamma=90.00
Fractional positions:
Cs (0.000, 0.000, 0.500)
Cs (0.000, 0.500, 0.000)
Cs (0.500, 0.000, 0.000)
Pd (0.500, 0.500, 0.500)
F (0.000, 0.000, 0.000)

**Space-group type**: Pm-3m
**Magnetization**: 0.04 μB per atom
**Formation energy (no corrections)**: -1.090 eV/atom



First-principles (meta-GGA SCAN) data for a PBEsol-optimized structure of CsPd2F5, as listed in Alexandria via LeMat-Bulk.

Unit cell a=7.377 b=7.377 c=7.377 alpha=128.64 beta=116.06 gamma=86.34
Fractional positions:
Cs (0.359, 0.109, 0.250)
Cs (0.641, 0.891, 0.750)
Pd (0.000, 0.000, 0.500)
Pd (0.000, 0.500, 0.000)
Pd (0.000, 0.500, 0.500)
Pd (0.500, 0.500, 0.000)
F (0.048, 0.367, 0.174)
F (0.048, 0.874, 0.682)
F (0.308, 0.126, 0.674)
F (0.308, 0.633, 0.182)
F (0.338, 0.588, 0.750)
F (0.662, 0.412, 0.250)
F (0.692, 0.367, 0.818)
F (0.692, 0.874, 0.326)
F (0.952, 0.126, 0.318)
F (0.952, 0.633, 0.826)

**Space-group type**: Imma
**Magnetization**: 0.25 μB per atom
**Formation energy (no corrections)**: -1.856 eV/atom



First-principles (meta-GGA SCAN) data for a PBEsol-optimized structure of CsRb2PdF5, as listed in Alexandria via LeMat-Bulk.

Unit cell a=7.509 b=7.509 c=6.358 alpha=90.00 beta=90.00 gamma=90.00
Fractional positions:
Cs (0.000, 0.000, 0.000)
Cs (0.500, 0.500, 0.000)
Rb (0.176, 0.324, 0.500)
Rb (0.324, 0.824, 0.500)
Rb (0.676, 0.176, 0.500)
Rb (0.824, 0.676, 0.500)
Pd (0.000, 0.500, 0.000)
Pd (0.500, 0.000, 0.000)
F (0.000, 0.000, 0.500)
F (0.130, 0.630, 0.217)
F (0.130, 0.630, 0.783)
F (0.370, 0.130, 0.217)
F (0.370, 0.130, 0.783)
F (0.500, 0.500, 0.500)
F (0.630, 0.870, 0.217)
F (0.630, 0.870, 0.783)
F (0.870, 0.370, 0.217)
F (0.870, 0.370, 0.783)

**Space-group type**: P4/mbm
**Magnetization**: 0.02 μB per atom
**Formation energy (no corrections)**: -2.481 eV/atom